[1]
Ti5Sn3N | Alexandria via LeMat-Bulk | GGA-PBE | optimized geometry; calculated volume = 17.0 A^3/atom; raw formation energy = -0.674 eV/atom
1.0
5.441 0.000 0.000
0.000 6.980 -4.030
0.000 0.000 8.059
Ti Sn N
10 6 2
direct
0.000 0.333 0.667
0.500 0.667 0.333
0.000 0.667 0.333
0.500 0.333 0.667
0.750 0.791 0.000
0.750 0.209 0.209
0.750 0.000 0.791
0.250 0.209 0.000
0.250 0.791 0.791
0.250 0.000 0.209
0.750 0.405 0.000
0.750 0.595 0.595
0.750 0.000 0.405
0.250 0.595 0.000
0.250 0.405 0.405
0.250 0.000 0.595
0.000 0.000 0.000
0.500 0.000 0.000



[2]
Y3HgN | Alexandria via LeMat-Bulk | GGA-PBE | optimized geometry; calculated volume = 22.3 A^3/atom; raw formation energy = -0.964 eV/atom
1.0
-3.780 5.448 1.518
-4.512 -4.042 3.092
2.757 5.233 3.363
Y Hg N
6 2 2
direct
0.127 0.588 0.342
0.155 0.122 0.408
0.620 0.096 0.478
0.088 0.058 0.910
0.658 0.626 0.910
0.592 0.562 0.412
0.623 0.093 0.917
0.124 0.591 0.903
0.373 0.842 0.410
0.873 0.342 0.410



[3]
In2NiHAu | Alexandria via LeMat-Bulk | GGA-PBE | optimized geometry; final energy = -3.54 eV/atom; calculated volume = 16.1 A^3/atom
1.0
5.091 0.000 0.000
0.000 5.091 0.000
0.000 0.000 3.099
Ni Au H In
1 1 1 2
direct
0.000 0.000 0.500
0.500 0.500 0.500
0.000 0.000 0.000
0.000 0.500 0.000
0.500 0.000 0.000